# ZrZn3Pt

ZrZn3Pt after structural relaxation (PBE-GGA, Alexandria via LeMat-Bulk).

Values from the calculation:
energy above the most stable polymorph in this dataset	1778	meV/atom

Lattice parameters (Å, degrees): 5.0706 5.0706 5.0706 90.00 90.00 90.00
Positions (direct):
Zr: 0.0000 0.0000 0.0000
Zn: 0.0000 0.0000 0.5000
Zn: 0.0000 0.5000 0.0000
Zn: 0.5000 0.0000 0.0000
Pt: 0.5000 0.5000 0.5000

---

# PuGa3Ru

PuGa3Ru after structural relaxation (PBE-GGA, Alexandria via LeMat-Bulk).

Values from the calculation:
energy above the most stable polymorph in this dataset	44	meV/atom

Lattice parameters (Å, degrees): 6.5934 6.5934 6.5934 133.83 112.29 85.88
Positions (direct):
Pu: 0.2575 0.0075 0.2500
Pu: 0.7425 0.9925 0.7500
Ga: 0.1853 0.0000 0.6853
Ga: 0.1853 0.5000 0.1853
Ga: 0.4301 0.6801 0.7500
Ga: 0.5699 0.3199 0.2500
Ga: 0.8147 0.0000 0.3147
Ga: 0.8147 0.5000 0.8147
Ru: 0.0000 0.5000 0.5000
Ru: 0.5000 0.5000 0.0000

---

# Zn4CrTe

Zn4CrTe after structural relaxation (PBE-GGA, Alexandria via LeMat-Bulk).

Values from the calculation:
ΔE_f (raw)	0.29	eV per atom

Lattice parameters (Å, degrees): 5.2960 5.2960 5.2960 60.00 60.00 60.00
Positions (direct):
Zn: 0.1237 0.1237 0.1237
Zn: 0.1237 0.1237 0.6288
Zn: 0.1237 0.6288 0.1237
Zn: 0.6288 0.1237 0.1237
Cr: 0.7500 0.7500 0.7500
Te: 0.5000 0.5000 0.5000